K5V3O10: optimized geometry, PBE with a Hubbard U.

Values from the calculation:
Its energy is -6.32 eV/atom. The total moment comes out at 0.3 μB/cell.

Cell: 8.319 8.319 19.194 Å, 90.00 90.00 90.00°
Sites, in units of the cell vectors:
K 0.237 0.237 0.000
K 0.263 0.737 0.250
K 0.737 0.263 0.750
K 0.763 0.763 0.500
K 0.997 0.973 0.107
K 0.527 0.497 0.357
K 0.473 0.503 0.857
K 0.497 0.527 0.643
K 0.503 0.473 0.143
K 0.003 0.027 0.607
K 0.973 0.997 0.893
K 0.027 0.003 0.393
K 0.511 0.022 0.383
K 0.489 0.978 0.883
K 0.022 0.511 0.617
K 0.522 0.989 0.133
K 0.478 0.011 0.633
K 0.989 0.522 0.867
K 0.011 0.478 0.367
K 0.978 0.489 0.117
V 0.812 0.188 0.250
V 0.312 0.312 0.500
V 0.688 0.688 0.000
V 0.188 0.812 0.750
V 0.234 0.227 0.232
V 0.273 0.734 0.482
V 0.727 0.266 0.982
V 0.734 0.273 0.518
V 0.266 0.727 0.018
V 0.766 0.773 0.732
V 0.227 0.234 0.768
V 0.773 0.766 0.268
O 0.597 0.684 0.240
O 0.403 0.316 0.740
O 0.684 0.597 0.760
O 0.184 0.903 0.990
O 0.816 0.097 0.490
O 0.903 0.184 0.010
O 0.097 0.816 0.510
O 0.316 0.403 0.260
O 0.939 0.663 0.240
O 0.061 0.337 0.740
O 0.663 0.939 0.760
O 0.163 0.561 0.990
O 0.837 0.439 0.490
O 0.561 0.163 0.010
O 0.439 0.837 0.510
O 0.337 0.061 0.260
O 0.772 0.768 0.358
O 0.716 0.249 0.322
O 0.228 0.232 0.858
O 0.268 0.728 0.108
O 0.732 0.272 0.608
O 0.728 0.268 0.892
O 0.272 0.732 0.392
O 0.232 0.228 0.142
O 0.783 0.976 0.234
O 0.217 0.024 0.734
O 0.976 0.783 0.766
O 0.476 0.717 0.984
O 0.524 0.283 0.484
O 0.717 0.476 0.016
O 0.283 0.524 0.516
O 0.024 0.217 0.266
O 0.751 0.284 0.178
O 0.216 0.251 0.428
O 0.784 0.749 0.928
O 0.251 0.216 0.572
O 0.749 0.784 0.072
O 0.249 0.716 0.678
O 0.284 0.751 0.822
O 0.768 0.772 0.642